Material: KBeNbGe2
Method: DFT, PBE
State: optimized geometry

Computed properties:
Energy relative to the elements ... 1198 kJ/mol of formula units

Unit cell a=5.2960 b=5.2960 c=4.9393 alpha=90.00 beta=90.00 gamma=90.00
Element x y z (fractional)
K 0.0000 0.0000 0.0000
Be 0.5000 0.5000 0.5000
Nb 0.0000 0.0000 0.5000
Ge 0.0000 0.5000 0.0000
Ge 0.5000 0.0000 0.0000

Material: SbCSe2N
Method: DFT, PBE
State: optimized geometry

Computed properties:
Formation energy from raw total energies ... 2182 meV per atom
Energy relative to the lowest polymorph listed for this composition ... 1414 meV per atom

Unit cell a=5.3814 b=5.3814 c=3.8962 alpha=90.00 beta=90.00 gamma=90.00
Element x y z (fractional)
Sb 0.0000 0.0000 0.0000
C 0.5000 0.5000 0.5000
Se 0.0000 0.5000 0.0000
Se 0.5000 0.0000 0.0000
N 0.0000 0.0000 0.5000

Density of states at the Fermi level readings, ordered: 0.868 0.698 states/eV per atom
M_tot readings, ordered: 2.3 0.2 Bohr magnetons per cell
Energy readings, ordered: -2.342 -3.546 eV per atom